# SrCd2Co3O8

A relaxed SrCd2Co3O8 crystal (PBE with a Hubbard U, Alexandria).

Calculated values
M_tot (Bohr magnetons per cell): 1.0
Final energy (eV per atom): -5.292

Lattice parameters (Å, degrees): 6.447 6.447 6.447 55.90 55.90 55.90
Fractional positions:
Sr  0.000  0.000  0.000
Cd  0.253  0.253  0.253
Cd  0.628  0.628  0.628
Co  0.123  0.631  0.631
Co  0.631  0.123  0.631
Co  0.631  0.631  0.123
O  0.377  0.377  0.819
O  0.377  0.819  0.377
O  0.396  0.396  0.396
O  0.448  0.879  0.879
O  0.819  0.377  0.377
O  0.854  0.854  0.854
O  0.879  0.448  0.879
O  0.879  0.879  0.448